# CaYPCl2

CaYPCl2 after structural relaxation (PBE-GGA, Alexandria via LeMat-Bulk).

Cell: 5.135 5.135 5.562 Å, 90.00 90.00 90.00°
Fractional coordinates of all 5 atoms:
1 P 0.000 0.000 0.500
2 Y 0.000 0.000 0.000
3 Cl 0.000 0.500 0.000
4 Cl 0.500 0.000 0.000
5 Ca 0.500 0.500 0.500

Summary:
**Fermi-level density of states**: 0.001 states/eV/atom
**Spin magnetization**: 0.0 μB/f.u.
**Mass density**: 2.61 g/cm3
**Formation energy (no corrections)**: -6.9 eV/f.u.
**V**: 29.329 Å³/atom
**Space group**: P4/mmm



# CaYP2Cl

CaYP2Cl after structural relaxation (PBE-GGA, Alexandria via LeMat-Bulk).

Cell: 5.139 5.139 4.965 Å, 90.00 90.00 90.00°
Fractional coordinates of all 5 atoms:
1 P 0.000 0.500 0.000
2 P 0.500 0.000 0.000
3 Ca 0.000 0.000 0.000
4 Cl 0.000 0.000 0.500
5 Y 0.500 0.500 0.500

Summary:
**Fermi-level density of states**: 0.255 states/eV/atom
**Spin magnetization**: 0.0 μB/f.u.
**Mass density**: 2.87 g/cm3
**Formation energy (no corrections)**: -1.6 eV/f.u.
**V**: 26.225 Å³/atom
**Space group**: P4/mmm



# CaYPCl2

CaYPCl2 after structural relaxation (PBE-GGA, Alexandria via LeMat-Bulk).

Cell: 4.886 4.886 5.896 Å, 90.00 90.00 90.00°
Fractional coordinates of all 5 atoms:
1 Ca 0.000 0.000 0.000
2 P 0.000 0.000 0.500
3 Y 0.500 0.500 0.500
4 Cl 0.000 0.500 0.000
5 Cl 0.500 0.000 0.000

Summary:
**Fermi-level density of states**: 0.019 states/eV/atom
**Spin magnetization**: 0.0 μB/f.u.
**Mass density**: 2.72 g/cm3
**Formation energy (no corrections)**: -5.2 eV/f.u.
**V**: 28.155 Å³/atom
**Space group**: P4/mmm



# CaZnPCl

CaZnPCl after structural relaxation (PBE-GGA, Alexandria via LeMat-Bulk).

Cell: 4.063 4.063 13.410 Å, 81.29 81.29 60.00°
Fractional coordinates of all 8 atoms:
1 P 0.874 0.874 0.377
2 P 0.126 0.126 0.623
3 Zn 0.190 0.190 0.431
4 Zn 0.810 0.810 0.569
5 Cl 0.711 0.711 0.868
6 Cl 0.289 0.289 0.132
7 Ca 0.413 0.413 0.760
8 Ca 0.587 0.587 0.240

Summary:
**Spin magnetization**: 0.0 μB/f.u.
**Mass density**: 3.02 g/cm3
**Formation energy (no corrections)**: -5.3 eV/f.u.
**V**: 23.594 Å³/atom
**Space group**: R-3m



# CaZnPCl2

CaZnPCl2 after structural relaxation (PBE-GGA, Alexandria via LeMat-Bulk).

Cell: 4.945 4.945 4.817 Å, 90.00 90.00 90.00°
Last column: magnetic moment on the atom in μB.
Fractional coordinates of all 5 atoms:
1 P 0.000 0.000 0.500  0.32
2 Zn 0.000 0.000 0.000  0.01
3 Cl 0.000 0.500 0.000  0.06
4 Cl 0.500 0.000 0.000  0.06
5 Ca 0.500 0.500 0.500  0.01

Summary:
**Fermi-level density of states**: 0.660 states/eV/atom
**Spin magnetization**: 1.0 μB/f.u.
**Mass density**: 2.92 g/cm3
**Formation energy (no corrections)**: -3.4 eV/f.u.
**V**: 23.556 Å³/atom
**Space group**: P4/mmm



# CaZnPCl2

CaZnPCl2 after structural relaxation (PBE-GGA, Alexandria via LeMat-Bulk).

Cell: 5.220 5.220 6.018 Å, 90.00 90.00 90.00°
Last column: magnetic moment on the atom in μB.
Fractional coordinates of all 5 atoms:
1 Cl 0.000 0.500 0.000  0.04
2 Cl 0.500 0.000 0.000  0.04
3 P 0.000 0.000 0.500  0.78
4 Zn 0.500 0.500 0.500  -0.06
5 Ca 0.000 0.000 0.000  0.01

Summary:
**Fermi-level density of states**: 0.376 states/eV/atom
**Spin magnetization**: 1.9 μB/f.u.
**Mass density**: 2.10 g/cm3
**Formation energy (no corrections)**: -2.2 eV/f.u.
**V**: 32.799 Å³/atom
**Space group**: P4/mmm



# CaPaCl2

CaPaCl2 after structural relaxation (PBE-GGA, Alexandria via LeMat-Bulk).

Cell: 3.560 3.560 10.086 Å, 79.84 79.84 60.00°
Last column: magnetic moment on the atom in μB.
Fractional coordinates of all 4 atoms:
1 Cl 0.099 0.099 0.703  -0.01
2 Cl 0.901 0.901 0.297  -0.01
3 Pa 0.500 0.500 0.500  0.55
4 Ca 0.000 0.000 0.000  0.00

Summary:
**Fermi-level density of states**: 1.037 states/eV/atom
**Spin magnetization**: 0.6 μB/f.u.
**Mass density**: 5.24 g/cm3
**Formation energy (no corrections)**: -4.3 eV/f.u.
**V**: 27.093 Å³/atom
**Space group**: R-3m



# CaPa2Cl8

CaPa2Cl8 after structural relaxation (PBE-GGA, Alexandria via LeMat-Bulk).

Cell: 7.809 7.420 7.420 Å, 51.86 91.59 91.59°
Last column: magnetic moment on the atom in μB.
Fractional coordinates of all 11 atoms:
1 Pa 0.554 0.117 0.117  1.79
2 Pa 0.446 0.883 0.883  1.79
3 Cl 0.118 0.810 0.810  -0.01
4 Cl 0.286 0.282 0.783  -0.01
5 Cl 0.714 0.217 0.718  -0.01
6 Cl 0.596 0.702 0.702  -0.01
7 Cl 0.714 0.718 0.217  -0.01
8 Cl 0.404 0.298 0.298  -0.01
9 Cl 0.286 0.783 0.282  -0.01
10 Cl 0.882 0.190 0.190  -0.01
11 Ca 0.000 0.000 0.000  0.02

Summary:
**Fermi-level density of states**: 0.641 states/eV/atom
**Spin magnetization**: 4.0 μB/f.u.
**Mass density**: 3.86 g/cm3
**Formation energy (no corrections)**: -20.0 eV/f.u.
**V**: 30.722 Å³/atom
**Space group**: C2/m